(1)
# PBE-GGA Rb6TaAs4, relaxed
data_Rb6TaAs4
_chemical_formula_sum 'Rb12 Ta2 As8'
_symmetry_space_group_name_H-M 'P 63 m c'
_symmetry_Int_Tables_number 186
_symmetry_space_group_name_Hall 'P 6c -2c'
_cell_length_a 10.8078
_cell_length_b 10.8078
_cell_length_c 8.6482
_cell_angle_alpha 90.00
_cell_angle_beta 90.00
_cell_angle_gamma 120.00
loop_
_atom_site_label
_atom_site_fract_x
_atom_site_fract_y
_atom_site_fract_z
Rb1 0.0658 0.5329 0.0000
Rb2 0.1447 0.2893 0.3176
Ta1 0.3333 0.6667 0.6079
As1 0.2056 0.4112 0.6984
As2 0.3333 0.6667 0.3195
# - energy of formation (eV per atom) = -0.436
# - spin magnetization (μB per cell) = 2.2

---

(2)
# PBE-GGA K2AlF4, relaxed
data_K2AlF4
_chemical_formula_sum 'K4 Al2 F8'
_symmetry_space_group_name_H-M 'I -4 2 m'
_symmetry_Int_Tables_number 121
_symmetry_space_group_name_Hall 'I -4 2'
_cell_length_a 6.424
_cell_length_b 6.424
_cell_length_c 9.397
_cell_angle_alpha 90.00
_cell_angle_beta 90.00
_cell_angle_gamma 90.00
loop_
_atom_site_label
_atom_site_fract_x
_atom_site_fract_y
_atom_site_fract_z
K1 0.000 0.500 0.250
Al1 0.000 0.000 0.000
F1 0.154 0.154 0.108
# - ΔE_f (raw) (eV per atom) = -2.799
# - spin magnetization (μB per cell) = 0.0

---

(3)
# PBE-GGA Na2AcAg4, relaxed
data_Na2AcAg4
_chemical_formula_sum 'Na4 Ac2 Ag8'
_symmetry_space_group_name_H-M 'I m m m'
_symmetry_Int_Tables_number 71
_symmetry_space_group_name_Hall '-I 2 2'
_cell_length_a 3.933
_cell_length_b 4.815
_cell_length_c 19.648
_cell_angle_alpha 90.00
_cell_angle_beta 90.00
_cell_angle_gamma 90.00
loop_
_atom_site_label
_atom_site_fract_x
_atom_site_fract_y
_atom_site_fract_z
Na1 0.000 0.000 0.194
Ac1 0.000 0.500 0.000
Ag1 0.000 0.000 0.355
Ag2 0.000 0.500 0.428
# - energy of formation (eV per atom) = -0.111
# - spin magnetization (μB per cell) = 0.0

---

(4)
# PBE-GGA Ac2TmSb3Ir4, relaxed
data_Ac2TmSb3Ir4
_chemical_formula_sum 'Ac2 Tm1 Sb3 Ir4'
_symmetry_space_group_name_H-M 'P -4 m 2'
_symmetry_Int_Tables_number 115
_symmetry_space_group_name_Hall 'P -4 -2'
_cell_length_a 4.476
_cell_length_b 4.476
_cell_length_c 11.570
_cell_angle_alpha 90.00
_cell_angle_beta 90.00
_cell_angle_gamma 90.00
loop_
_atom_site_label
_atom_site_fract_x
_atom_site_fract_y
_atom_site_fract_z
Ac1 0.000 0.500 0.241
Tm1 0.000 0.000 0.500
Sb1 0.000 0.500 0.872
Sb2 0.500 0.500 0.500
Ir1 0.000 0.000 0.000
Ir2 0.000 0.500 0.644
Ir3 0.500 0.500 0.000
# - ΔE_f (raw) (eV per atom) = -0.715
# - spin magnetization (μB per cell) = 0.0

---

(5)
# PBE-GGA BaP2C2, relaxed
data_BaP2C2
_chemical_formula_sum 'Ba2 P4 C4'
_symmetry_space_group_name_H-M 'I 4/m m m'
_symmetry_Int_Tables_number 139
_symmetry_space_group_name_Hall '-I 4 2'
_cell_length_a 3.896
_cell_length_b 3.896
_cell_length_c 10.628
_cell_angle_alpha 90.00
_cell_angle_beta 90.00
_cell_angle_gamma 90.00
loop_
_atom_site_label
_atom_site_fract_x
_atom_site_fract_y
_atom_site_fract_z
Ba1 0.000 0.000 0.000
P1 0.000 0.500 0.250
C1 0.000 0.000 0.268
# - polymorph energy (0 for the lowest one) (meV per atom) = 0
# - energy of formation (eV per atom) = 0.599
# - spin magnetization (μB per cell) = 0.0

---

(6)
# PBE-GGA ScIF3, relaxed
data_ScIF3
_chemical_formula_sum 'Sc1 I1 F3'
_symmetry_space_group_name_H-M 'P m -3 m'
_symmetry_Int_Tables_number 221
_symmetry_space_group_name_Hall '-P 4 2 3'
_cell_length_a 4.321
_cell_length_b 4.321
_cell_length_c 4.321
_cell_angle_alpha 90.00
_cell_angle_beta 90.00
_cell_angle_gamma 90.00
loop_
_atom_site_label
_atom_site_fract_x
_atom_site_fract_y
_atom_site_fract_z
Sc1 0.000 0.000 0.000
I1 0.500 0.500 0.500
F1 0.000 0.000 0.500
# - polymorph energy (0 for the lowest one) (meV per atom) = 0
# - ΔE_f (raw) (eV per atom) = -2.592
# - spin magnetization (μB per cell) = 1.0

---

(7)
# PBE-GGA KCuSe, relaxed
data_KCuSe
_chemical_formula_sum 'K1 Cu1 Se1'
_symmetry_space_group_name_H-M 'P -6 m 2'
_symmetry_Int_Tables_number 187
_symmetry_space_group_name_Hall 'P -6 2'
_cell_length_a 4.1930
_cell_length_b 4.1930
_cell_length_c 4.9416
_cell_angle_alpha 90.00
_cell_angle_beta 90.00
_cell_angle_gamma 120.00
loop_
_atom_site_label
_atom_site_fract_x
_atom_site_fract_y
_atom_site_fract_z
K1 0.0000 0.0000 0.0000
Cu1 0.3333 0.6667 0.5000
Se1 0.6667 0.3333 0.5000
# - ΔE_f (raw) (eV per atom) = -0.686
# - spin magnetization (μB per cell) = 0.0

---

(8)
# PBE-GGA TaAlRe2, relaxed
data_TaAlRe2
_chemical_formula_sum 'Ta2 Al2 Re4'
_symmetry_space_group_name_H-M 'C 1 2/m 1'
_symmetry_Int_Tables_number 12
_symmetry_space_group_name_Hall '-C 2y'
_cell_length_a 5.595
_cell_length_b 8.801
_cell_length_c 2.769
_cell_angle_alpha 90.00
_cell_angle_beta 113.78
_cell_angle_gamma 90.00
loop_
_atom_site_label
_atom_site_fract_x
_atom_site_fract_y
_atom_site_fract_z
Ta1 0.000 0.000 0.000
Al1 0.000 0.500 0.000
Re1 0.250 0.250 0.500
# - energy of formation (eV per atom) = -0.093
# - spin magnetization (μB per cell) = 0.0

---

(9)
# PBE-GGA Ni11As8, relaxed
data_Ni11As8
_chemical_formula_sum 'Ni44 As32'
_symmetry_space_group_name_H-M 'P 41 21 2'
_symmetry_Int_Tables_number 92
_symmetry_space_group_name_Hall 'P 4abw 2nw'
_cell_length_a 6.907
_cell_length_b 6.907
_cell_length_c 21.873
_cell_angle_alpha 90.00
_cell_angle_beta 90.00
_cell_angle_gamma 90.00
loop_
_atom_site_label
_atom_site_fract_x
_atom_site_fract_y
_atom_site_fract_z
Ni1 0.065 0.122 0.329
Ni2 0.071 0.628 0.328
Ni3 0.122 0.122 0.000
Ni4 0.122 0.626 0.982
Ni5 0.122 0.690 0.671
Ni6 0.128 0.818 0.079
As1 0.121 0.369 0.250
As2 0.121 0.879 0.250
As3 0.123 0.125 0.879
As4 0.123 0.625 0.874
As5 0.131 0.131 0.500
# - energy of formation (eV per atom) = -0.307
# - spin magnetization (μB per cell) = 0.0

---

(10)
# PBE-GGA TiCoGeRh, relaxed
data_TiCoGeRh
_chemical_formula_sum 'Ti2 Co2 Ge2 Rh2'
_symmetry_space_group_name_H-M 'I -4 m 2'
_symmetry_Int_Tables_number 119
_symmetry_space_group_name_Hall 'I -4 -2'
_cell_length_a 3.901
_cell_length_b 3.901
_cell_length_c 7.069
_cell_angle_alpha 90.00
_cell_angle_beta 90.00
_cell_angle_gamma 90.00
loop_
_atom_site_label
_atom_site_fract_x
_atom_site_fract_y
_atom_site_fract_z
Ti1 0.000 0.000 0.000
Co1 0.000 0.500 0.750
Ge1 0.000 0.000 0.500
Rh1 0.000 0.500 0.250
# - polymorph energy (0 for the lowest one) (meV per atom) = 0
# - energy of formation (eV per atom) = -0.610
# - spin magnetization (μB per cell) = 0.0

---

(11)
# PBE-GGA CaMoW2, relaxed
data_CaMoW2
_chemical_formula_sum 'Ca1 Mo1 W2'
_symmetry_space_group_name_H-M 'P 4/m m m'
_symmetry_Int_Tables_number 123
_symmetry_space_group_name_Hall '-P 4 2'
_cell_length_a 3.170
_cell_length_b 3.170
_cell_length_c 7.693
_cell_angle_alpha 90.00
_cell_angle_beta 90.00
_cell_angle_gamma 90.00
loop_
_atom_site_label
_atom_site_fract_x
_atom_site_fract_y
_atom_site_fract_z
Ca1 0.000 0.000 0.000
Mo1 0.000 0.000 0.500
W1 0.500 0.500 0.306
# - polymorph energy (0 for the lowest one) (meV per atom) = 149
# - energy of formation (eV per atom) = 0.669
# - spin magnetization (μB per cell) = 0.0

---

(12)
# PBE-GGA LiNiSb2, relaxed
data_LiNiSb2
_chemical_formula_sum 'Li2 Ni2 Sb4'
_symmetry_space_group_name_H-M 'I m m m'
_symmetry_Int_Tables_number 71
_symmetry_space_group_name_Hall '-I 2 2'
_cell_length_a 4.261
_cell_length_b 5.443
_cell_length_c 6.749
_cell_angle_alpha 90.00
_cell_angle_beta 90.00
_cell_angle_gamma 90.00
loop_
_atom_site_label
_atom_site_fract_x
_atom_site_fract_y
_atom_site_fract_z
Li1 0.000 0.000 0.000
Ni1 0.000 0.000 0.500
Sb1 0.000 0.500 0.231
# - polymorph energy (0 for the lowest one) (meV per atom) = 172
# - ΔE_f (raw) (eV per atom) = -0.104
# - spin magnetization (μB per cell) = 0.0

---

Sequential total energy output: -0.13714, -0.17331, -0.09937, -0.24862, -0.20724, -0.19446, -0.13153, -0.37542, -0.20622, -0.27020, -0.33132, -0.15028 hartree per atom